## Co2PtSe (GGA-PBE)

Data for a geometry-optimized Co2PtSe structure.

Cell lengths 2.792, 2.792, 7.360 Å; angles 90.00, 90.00, 90.00 degrees
Each line ends with the local moment (μB).
Fractional positions:
Co (0.500, 0.500, 0.227)  1.94
Co (0.000, 0.000, 0.011)  1.28
Se (0.500, 0.500, 0.804)  0.01
Pt (0.000, 0.000, 0.459)  0.25

Values from the calculation:
SG = P4mm (99)
D(E_F) = 4.2 states/eV per cell
Final energy = -0.4222 Ry/atom
Crystal system = tetragonal

---

## CoPtSe2 (GGA-PBE)

Data for a geometry-optimized CoPtSe2 structure.

Cell lengths 6.997, 6.997, 6.997 Å; angles 30.72, 30.72, 30.72 degrees
Fractional positions:
Se (0.206, 0.206, 0.206)
Se (0.030, 0.030, 0.030)
Pt (0.758, 0.758, 0.758)
Co (0.505, 0.505, 0.505)

Values from the calculation:
Offset from the most stable computed form = 41.8 meV per atom
SG = R3m (160)
D(E_F) = 2.2 states/eV per cell
Crystal system = trigonal

---

## CoPtSe2 (GGA-PBE)

Data for a geometry-optimized CoPtSe2 structure.

Cell lengths 6.542, 6.542, 6.542 Å; angles 148.59, 145.00, 47.73 degrees
Fractional positions:
Co (0.750, 0.250, 0.500)
Se (0.617, 0.617, 0.000)
Se (0.883, 0.883, 0.000)
Pt (0.250, 0.750, 0.500)

Values from the calculation:
Offset from the most stable computed form = 0.0 meV per atom
SG = Immm (71)
D(E_F) = 2.1 states/eV per cell
Crystal system = orthorhombic

---

## Co3PtSe (GGA-PBE)

Data for a geometry-optimized Co3PtSe structure.

Cell lengths 4.646, 4.646, 4.646 Å; angles 90.00, 90.00, 90.00 degrees
Each line ends with the local moment (μB).
Fractional positions:
Pt (0.000, 0.000, 0.000)  0.56
Co (0.000, 0.500, 0.000)  2.08
Co (0.000, 0.000, 0.500)  2.59
Co (0.500, 0.000, 0.000)  1.59
Se (0.500, 0.500, 0.500)  0.12

Values from the calculation:
Offset from the most stable computed form = 467.4 meV per atom
SG = Pm-3m (221)
D(E_F) = 6.8 states/eV per cell
Crystal system = cubic

---

## CoPtSe2 (GGA-PBE)

Data for a geometry-optimized CoPtSe2 structure.

Cell lengths 5.533, 5.533, 6.647 Å; angles 65.40, 65.40, 90.00 degrees
Each line ends with the local moment (μB).
Fractional positions:
Co (0.250, 0.750, 0.500)  0.75
Co (0.500, 0.500, 0.000)  0.74
Se (0.375, 0.405, 0.750)  0.00
Se (0.155, 0.625, 0.250)  0.01
Se (0.875, 0.845, 0.750)  0.02
Se (0.595, 0.125, 0.250)  0.01
Pt (0.000, 0.000, 0.000)  -0.01
Pt (0.750, 0.250, 0.500)  -0.01

Values from the calculation:
Offset from the most stable computed form = 131.9 meV per atom
SG = I-42d (122)
D(E_F) = 7.6 states/eV per cell
Crystal system = tetragonal

---

## CoPt3Se (GGA-PBE)

Data for a geometry-optimized CoPt3Se structure.

Cell lengths 4.658, 4.658, 4.658 Å; angles 90.00, 90.00, 90.00 degrees
Each line ends with the local moment (μB).
Fractional positions:
Pt (0.500, 0.000, 0.000)  0.07
Pt (0.000, 0.500, 0.000)  0.02
Pt (0.000, 0.000, 0.500)  -0.01
Se (0.000, 0.000, 0.000)  0.01
Co (0.500, 0.500, 0.500)  2.15

Values from the calculation:
Offset from the most stable computed form = 0.0 meV per atom
SG = Pm-3m (221)
D(E_F) = 5.0 states/eV per cell
Crystal system = cubic

---

## Co2PtSe (GGA-PBE)

Data for a geometry-optimized Co2PtSe structure.

Cell lengths 9.066, 9.066, 9.066 Å; angles 17.60, 17.60, 17.60 degrees
Each line ends with the local moment (μB).
Fractional positions:
Pt (0.514, 0.514, 0.514)  0.27
Se (0.731, 0.731, 0.731)  0.00
Co (0.996, 0.996, 0.996)  1.40
Co (0.259, 0.259, 0.259)  2.00

Values from the calculation:
SG = R3m (160)
D(E_F) = 4.4 states/eV per cell
Final energy = -0.4209 Ry/atom
Crystal system = trigonal

---

## Co2PtSe (GGA-PBE)

Data for a geometry-optimized Co2PtSe structure.

Cell lengths 4.208, 2.840, 4.618 Å; angles 89.95, 90.00, 90.00 degrees
Each line ends with the local moment (μB).
Fractional positions:
Se (0.500, 0.626, 0.848)  -0.02
Co (0.500, 0.125, 0.269)  1.36
Co (0.000, 0.124, 0.946)  1.28
Pt (0.000, 0.624, 0.437)  0.29

Values from the calculation:
SG = Pm (6)
D(E_F) = 5.7 states/eV per cell
Final energy = -0.4233 Ry/atom
Crystal system = monoclinic

---

## CoPtSe2 (GGA-PBE)

Data for a geometry-optimized CoPtSe2 structure.

Cell lengths 4.546, 4.546, 4.546 Å; angles 60.00, 60.00, 60.00 degrees
Each line ends with the local moment (μB).
Fractional positions:
Se (0.000, 0.000, 0.000)  -0.02
Se (0.250, 0.250, 0.250)  -0.07
Pt (0.750, 0.750, 0.750)  0.07
Co (0.500, 0.500, 0.500)  1.72

Values from the calculation:
Offset from the most stable computed form = 772.1 meV per atom
SG = F-43m (216)
D(E_F) = 5.5 states/eV per cell
Crystal system = cubic

---

## CoPtSe2 (GGA-PBE)

Data for a geometry-optimized CoPtSe2 structure.

Cell lengths 5.258, 5.258, 5.258 Å; angles 137.84, 137.84, 61.15 degrees
Each line ends with the local moment (μB).
Fractional positions:
Se (0.000, 0.000, 0.000)  -0.02
Se (0.250, 0.750, 0.500)  -0.01
Pt (0.750, 0.250, 0.500)  0.00
Co (0.500, 0.500, 0.000)  1.25

Values from the calculation:
Offset from the most stable computed form = 573.4 meV per atom
SG = I-4m2 (119)
D(E_F) = 4.3 states/eV per cell
Crystal system = tetragonal

---

## CoPtSe2 (GGA-PBE)

Data for a geometry-optimized CoPtSe2 structure.

Cell lengths 3.071, 3.071, 6.569 Å; angles 90.00, 90.00, 90.03 degrees
Each line ends with the local moment (μB).
Fractional positions:
Pt (0.500, 0.500, 0.750)  -0.01
Se (0.000, 0.000, 0.027)  -0.01
Se (0.000, 0.000, 0.473)  -0.01
Co (0.500, 0.500, 0.250)  0.19

Values from the calculation:
Offset from the most stable computed form = 427.6 meV per atom
SG = P4/mmm (123)
D(E_F) = 4.0 states/eV per cell
Crystal system = tetragonal

---

## Co2PtSe (GGA-PBE)

Data for a geometry-optimized Co2PtSe structure.

Cell lengths 3.763, 2.924, 5.260 Å; angles 74.56, 90.00, 90.00 degrees
Each line ends with the local moment (μB).
Fractional positions:
Pt (0.500, 0.250, 0.250)  0.21
Se (0.500, 0.750, 0.750)  0.02
Co (0.000, 0.634, 0.501)  1.44
Co (0.000, 0.866, 0.999)  1.44

Values from the calculation:
SG = P2/m (10)
D(E_F) = 3.7 states/eV per cell
Final energy = -0.4223 Ry/atom
Crystal system = monoclinic